Compound: Y5Ag2Ir2
Source: Alexandria via LeMat-Bulk
Functional: GGA-PBE
Structure: relaxed

a = 8.644 Å, b = 8.644 Å, c = 7.652 Å
α = 90.00°, β = 90.00°, γ = 51.27°
Fractional coordinates of all 18 atoms:
1 Y 0.000 0.000 0.000
2 Y 0.045 0.705 0.671
3 Y 0.205 0.545 0.171
4 Y 0.295 0.955 0.671
5 Y 0.455 0.795 0.171
6 Y 0.500 0.500 0.500
7 Y 0.545 0.205 0.829
8 Y 0.705 0.045 0.329
9 Y 0.795 0.455 0.829
10 Y 0.955 0.295 0.329
11 Ag 0.212 0.212 0.000
12 Ag 0.288 0.288 0.500
13 Ag 0.712 0.712 0.500
14 Ag 0.788 0.788 0.000
15 Ir 0.132 0.868 0.367
16 Ir 0.368 0.632 0.867
17 Ir 0.632 0.368 0.133
18 Ir 0.868 0.132 0.633

ΔH_f (0 K): -0.55 eV per atom
total magnetic moment: 0.00 μB per atom
crystal system: orthorhombic



Compound: Y3AgIr
Source: Alexandria via LeMat-Bulk
Functional: GGA-PBE
Structure: relaxed

a = 5.743 Å, b = 5.941 Å, c = 8.603 Å
α = 101.99°, β = 101.13°, γ = 114.04°
Fractional coordinates of all 10 atoms:
1 Y 0.074 0.205 0.286
2 Y 0.288 0.421 0.715
3 Y 0.305 0.804 0.109
4 Y 0.695 0.196 0.891
5 Y 0.712 0.579 0.285
6 Y 0.926 0.795 0.714
7 Ag 0.302 0.779 0.499
8 Ag 0.698 0.221 0.501
9 Ir 0.249 0.250 0.999
10 Ir 0.751 0.750 0.001

energy above the lowest structure with this stoichiometry: 0 meV/atom
ΔH_f (0 K): -0.50 eV per atom
total magnetic moment: 0.00 μB per atom
crystal system: triclinic



Compound: Y2AgIr
Source: Alexandria via LeMat-Bulk
Functional: GGA-PBE
Structure: relaxed

a = 6.359 Å, b = 6.359 Å, c = 6.359 Å
α = 104.27°, β = 104.27°, γ = 120.46°
Fractional coordinates of all 8 atoms:
1 Y 0.096 0.625 0.971
2 Y 0.375 0.346 0.471
3 Y 0.654 0.125 0.029
4 Y 0.875 0.904 0.529
5 Ag 0.250 0.750 0.500
6 Ag 0.500 0.500 0.000
7 Ir 0.000 0.000 0.000
8 Ir 0.750 0.250 0.500

ΔH_f (0 K): -0.16 eV per atom
total magnetic moment: 0.00 μB per atom
crystal system: tetragonal



Compound: Y2AgIr2
Source: Alexandria via LeMat-Bulk
Functional: GGA-PBE
Structure: relaxed

a = 8.191 Å, b = 8.191 Å, c = 3.185 Å
α = 90.00°, β = 90.00°, γ = 90.00°
Fractional coordinates of all 10 atoms:
1 Y 0.152 0.348 0.000
2 Y 0.348 0.848 0.000
3 Y 0.652 0.152 0.000
4 Y 0.848 0.652 0.000
5 Ag 0.000 0.000 0.000
6 Ag 0.500 0.500 0.000
7 Ir 0.143 0.643 0.500
8 Ir 0.357 0.143 0.500
9 Ir 0.643 0.857 0.500
10 Ir 0.857 0.357 0.500

energy above the lowest structure with this stoichiometry: 334 meV/atom
ΔH_f (0 K): -0.29 eV per atom
total magnetic moment: 0.00 μB per atom
crystal system: tetragonal